## La3InRu (GGA-PBE)

Data for La3InRu after structural relaxation.

Cell: 6.001 6.001 12.223 Å, 75.79 75.79 90.00°
Sites, in units of the cell vectors:
Ru 0.698 0.198 0.603
Ru 0.802 0.302 0.397
In 0.000 0.000 0.000
In 0.250 0.750 0.500
La 0.636 0.871 0.257
La 0.129 0.364 0.743
La 0.129 0.893 0.743
La 0.107 0.871 0.257
La 0.289 0.289 0.422
La 0.711 0.711 0.578

Its space group is I-4m2. The value obtained for the total magnetization is 0.00 μB per formula unit. The value obtained for the formation enthalpy at 0 K is 0.5163 eV per atom. Its calculated volume is 41.28 Å³/atom. The total energy comes out at -0.3560 Ry/atom. The value obtained for the density of states at the Fermi level is 1.699 states/eV per atom.

=====

## NiGeRu3 (GGA-PBE)

Data for NiGeRu3 after structural relaxation.

Cell: 4.456 4.456 4.456 Å, 90.00 90.00 90.00°
Each line ends with the local moment (μB).
Sites, in units of the cell vectors:
Ru 0.000 0.500 0.000  1.23
Ru 0.000 0.000 0.500  1.78
Ru 0.500 0.000 0.000  0.81
Ge 0.500 0.500 0.500  -0.08
Ni 0.000 0.000 0.000  0.78

Its space group is Pm-3m. The value obtained for the total magnetization is 4.56 μB per formula unit. The value obtained for the formation enthalpy at 0 K is 1.3916 eV per atom. Its calculated volume is 17.70 Å³/atom. The total energy comes out at -0.4596 Ry/atom. The value obtained for the density of states at the Fermi level is 1.061 states/eV per atom.

=====

## CePm2Sn (GGA-PBE)

Data for CePm2Sn after structural relaxation.

Cell: 3.526 3.526 12.272 Å, 81.74 81.74 60.00°
Each line ends with the local moment (μB).
Sites, in units of the cell vectors:
Sn 0.000 0.000 0.000  0.00
Ce 0.500 0.500 0.500  0.54
Pm 0.088 0.088 0.736  -0.01
Pm 0.912 0.912 0.264  -0.01

Its space group is R-3m. The value obtained for the total magnetization is 0.63 μB per formula unit. The value obtained for the formation enthalpy at 0 K is 0.0866 eV per atom. Its calculated volume is 32.57 Å³/atom. The total energy comes out at -0.3508 Ry/atom. The value obtained for the density of states at the Fermi level is 1.316 states/eV per atom.

=====

## BaAgIr4 (GGA-PBE)

Data for BaAgIr4 after structural relaxation.

Cell: 5.448 5.448 5.448 Å, 60.00 60.00 60.00°
Sites, in units of the cell vectors:
Ba 0.000 0.000 0.000
Ag 0.750 0.750 0.750
Ir 0.375 0.874 0.375
Ir 0.874 0.375 0.375
Ir 0.375 0.375 0.874
Ir 0.375 0.375 0.375

Its space group is F-43m. The value obtained for the total magnetization is 0.00 μB per formula unit. The value obtained for the formation enthalpy at 0 K is 0.3361 eV per atom. Its calculated volume is 19.06 Å³/atom. The total energy comes out at -0.4680 Ry/atom. The value obtained for the density of states at the Fermi level is 1.753 states/eV per atom.

=====

## Ca2TlPb (GGA-PBE)

Data for Ca2TlPb after structural relaxation.

Cell: 5.540 5.540 5.540 Å, 60.00 60.00 60.00°
Sites, in units of the cell vectors:
Pb 0.500 0.500 0.500
Tl 0.000 0.000 0.000
Ca 0.250 0.250 0.250
Ca 0.750 0.750 0.750

Its space group is Fm-3m. The value obtained for the total magnetization is 0.00 μB per formula unit. The value obtained for the formation enthalpy at 0 K is -0.4899 eV per atom. Its calculated volume is 30.06 Å³/atom. The total energy comes out at -0.2212 Ry/atom. The value obtained for the density of states at the Fermi level is 0.773 states/eV per atom.

=====

## KRb2Al (GGA-PBE)

Data for KRb2Al after structural relaxation.

Cell: 5.727 5.727 14.403 Å, 78.53 78.53 90.00°
Sites, in units of the cell vectors:
K 0.000 0.000 0.000
K 0.750 0.250 0.500
Al 0.500 0.500 0.000
Al 0.250 0.750 0.500
Rb 0.603 0.125 0.250
Rb 0.147 0.625 0.250
Rb 0.375 0.397 0.750
Rb 0.875 0.853 0.750

Its space group is I-42d. The value obtained for the total magnetization is 0.48 μB per formula unit. The value obtained for the formation enthalpy at 0 K is 0.4330 eV per atom. Its calculated volume is 56.66 Å³/atom. The total energy comes out at -0.0927 Ry/atom. The value obtained for the density of states at the Fermi level is 0.844 states/eV per atom.